Entry 1:
Here is a relaxed structure of Na7Li3 from Alexandria via LeMat-Bulk. Energies are from PBE-GGA.

Lattice parameters (Å, degrees): 10.0391 10.0391 7.5687 90.00 90.00 120.00
Last column: nearest neighbours and their distance in Å.
Sites, in units of the cell vectors:
Na 0.0631 0.5315 0.0000  4 Li 3.20-3.30, 1 Na 3.45
Na 0.1239 0.2478 0.7232  3 Li 3.51-3.58, 5 Na 3.67-3.82
Na 0.1239 0.8761 0.7232  3 Li 3.51-3.58, 5 Na 3.67-3.82
Na 0.2478 0.1239 0.2232  3 Li 3.51-3.58, 5 Na 3.67-3.82
Na 0.3333 0.6667 0.6660  3 Li 3.23, 3 Na 3.45
Na 0.4685 0.5315 0.0000  4 Li 3.20-3.30, 1 Na 3.45
Na 0.4685 0.9369 0.0000  4 Li 3.20-3.30, 1 Na 3.45
Na 0.5315 0.0631 0.5000  4 Li 3.20-3.30, 1 Na 3.45
Na 0.5315 0.4685 0.5000  4 Li 3.20-3.30, 1 Na 3.45
Na 0.6667 0.3333 0.1660  3 Li 3.23, 3 Na 3.45
Na 0.7522 0.8761 0.7232  3 Li 3.51-3.58, 5 Na 3.67-3.82
Na 0.8761 0.1239 0.2232  3 Li 3.51-3.58, 5 Na 3.67-3.82
Na 0.8761 0.7522 0.2232  3 Li 3.51-3.58, 5 Na 3.67-3.82
Na 0.9369 0.4685 0.5000  4 Li 3.20-3.30, 1 Na 3.45
Li 0.2280 0.4561 0.3146  2 Li 3.17, 7 Na 3.20-3.51
Li 0.2280 0.7720 0.3146  2 Li 3.17, 7 Na 3.20-3.51
Li 0.4561 0.2280 0.8146  2 Li 3.17, 7 Na 3.20-3.51
Li 0.5439 0.7720 0.3146  2 Li 3.17, 7 Na 3.20-3.51
Li 0.7720 0.2280 0.8146  2 Li 3.17, 7 Na 3.20-3.51
Li 0.7720 0.5439 0.8146  2 Li 3.17, 7 Na 3.20-3.51

Energy relative to the elements in eV/atom: 0.07
Magnetization in μB/f.u.: 0.0

---

Entry 2:
Here is a relaxed structure of RbPuAg2S4 from Alexandria via LeMat-Bulk. Energies are from PBE-GGA.

Lattice parameters (Å, degrees): 6.5379 6.5379 6.5379 115.69 115.57 97.75
Last column: nearest neighbours and their distance in Å.
Sites, in units of the cell vectors:
Rb 0.0000 0.0000 0.0000  8 S 3.31-3.36
Pu 0.5000 0.5000 0.0000  4 S 2.62
Ag 0.2510 0.7510 0.5000  4 S 2.55
Ag 0.7490 0.2490 0.5000  4 S 2.55
S 0.1022 0.1024 0.5843  2 Ag 2.55, 1 Pu 2.62
S 0.4819 0.8976 0.9998  2 Ag 2.55, 1 Pu 2.62
S 0.5181 0.5179 0.4157  2 Ag 2.55, 1 Pu 2.62
S 0.8978 0.4821 0.0002  2 Ag 2.55, 1 Pu 2.62

Formation energy without anion corrections in eV per atom: -0.60
Magnetization in μB/f.u.: 4.0

---

Entry 3:
Here is a relaxed structure of Sn4Te5Au from Alexandria via LeMat-Bulk. Energies are from PBE-GGA.

Lattice parameters (Å, degrees): 15.9115 15.9115 15.9115 163.96 163.96 22.76
Last column: nearest neighbours and their distance in Å.
Sites, in units of the cell vectors:
Sn 0.0982 0.0982 0.0000  6 Te 3.06-3.20
Sn 0.3037 0.3037 0.0000  6 Te 3.14-3.21
Sn 0.6963 0.6963 0.0000  6 Te 3.14-3.21
Sn 0.9018 0.9018 0.0000  6 Te 3.06-3.20
Te 0.0000 0.0000 0.0000  2 Sn 3.06, 4 Au 3.14
Te 0.2007 0.2007 0.0000  6 Sn 3.14-3.21
Te 0.4066 0.4066 0.0000  1 Au 2.91, 5 Sn 3.14-3.21
Te 0.5934 0.5934 0.0000  1 Au 2.91, 5 Sn 3.14-3.21
Te 0.7993 0.7993 0.0000  6 Sn 3.14-3.21
Au 0.5000 0.5000 0.0000  6 Te 2.91-3.14

Formation energy without anion corrections in eV per atom: -0.19
Magnetization in μB/f.u.: 0.0

---

Entry 4:
Here is a relaxed structure of MgSc from Alexandria via LeMat-Bulk. Energies are from PBE-GGA.

Lattice parameters (Å, degrees): 8.3613 8.3613 8.3613 90.00 90.00 90.00
Last column: nearest neighbours and their distance in Å.
Sites, in units of the cell vectors:
Mg 0.0000 0.2500 0.5000  4 Sc 2.96
Mg 0.0000 0.7500 0.5000  4 Sc 2.96
Mg 0.2500 0.5000 0.0000  4 Sc 2.96
Mg 0.5000 0.0000 0.2500  4 Sc 2.96
Mg 0.5000 0.0000 0.7500  4 Sc 2.96
Mg 0.7500 0.5000 0.0000  4 Sc 2.96
Sc 0.0000 0.5000 0.2500  4 Mg 2.96
Sc 0.0000 0.5000 0.7500  4 Mg 2.96
Sc 0.2500 0.0000 0.5000  4 Mg 2.96
Sc 0.5000 0.2500 0.0000  4 Mg 2.96
Sc 0.5000 0.7500 0.0000  4 Mg 2.96
Sc 0.7500 0.0000 0.5000  4 Mg 2.96

Energy relative to the elements in eV/atom: 1.44
Magnetization in μB/f.u.: 1.3

---

Entry 5:
Here is a relaxed structure of Y2Er3 from Alexandria via LeMat-Bulk. Energies are from PBE-GGA.

Lattice parameters (Å, degrees): 11.5565 11.5565 5.4267 98.39 98.39 146.41
Last column: nearest neighbours and their distance in Å.
Sites, in units of the cell vectors:
Y 0.0000 0.5000 0.0000  4 Y 3.14-3.34
Y 0.1298 0.8702 0.0000  2 Y 3.14, 6 Er 3.15-3.50
Y 0.5000 0.0000 0.0000  4 Y 3.14-3.34
Y 0.8702 0.1298 0.0000  2 Y 3.14, 6 Er 3.15-3.50
Er 0.2133 0.4367 0.6632  2 Y 3.15-3.50, 2 Er 3.19-3.33
Er 0.2875 0.2875 0.1201  2 Y 3.33, 7 Er 3.33-3.67
Er 0.4367 0.2133 0.6632  2 Y 3.15-3.50, 2 Er 3.19-3.33
Er 0.5633 0.7867 0.3368  2 Y 3.15-3.50, 2 Er 3.19-3.33
Er 0.7125 0.7125 0.8799  2 Y 3.33, 7 Er 3.33-3.67
Er 0.7867 0.5633 0.3368  2 Y 3.15-3.50, 2 Er 3.19-3.33

Energy relative to the elements in eV/atom: 0.42
Magnetization in μB/f.u.: 0.0
Energy relative to the lowest polymorph listed for this composition in kJ/mol of atoms: 20.8

---

Entry 6:
Here is a relaxed structure of TlGa2Ge from Alexandria via LeMat-Bulk. Energies are from PBE-GGA.

Lattice parameters (Å, degrees): 3.4646 3.4646 7.4830 90.00 90.00 90.00
Last column: nearest neighbours and their distance in Å.
Sites, in units of the cell vectors:
Tl 0.0000 0.0000 0.0000  8 Ga 3.33, 4 Tl 3.46
Ga 0.5000 0.5000 0.3005  4 Ge 2.87, 1 Ga 2.99
Ga 0.5000 0.5000 0.6995  4 Ge 2.87, 1 Ga 2.99
Ge 0.0000 0.0000 0.5000  8 Ga 2.87

Energy relative to the elements in eV/atom: 0.12
Magnetization in μB/f.u.: 0.0
Energy relative to the lowest polymorph listed for this composition in kJ/mol of atoms: 2.4

---

Entry 7:
Here is a relaxed structure of MgNiRhCl2 from Alexandria via LeMat-Bulk. Energies are from PBE-GGA.

Lattice parameters (Å, degrees): 4.3998 4.3998 5.1697 90.00 90.00 90.00
Last column: nearest neighbours and their distance in Å.
Sites, in units of the cell vectors:
Mg 0.0000 0.0000 0.0000  2 Ni 2.58
Ni 0.0000 0.0000 0.5000  4 Cl 2.20
Rh 0.5000 0.5000 0.0000  4 Mg 3.11, 8 Cl 3.39
Cl 0.0000 0.5000 0.5000  2 Ni 2.20
Cl 0.5000 0.0000 0.5000  2 Ni 2.20

Formation energy without anion corrections in eV per atom: 0.38
Magnetization in μB/f.u.: 0.2
Energy relative to the lowest polymorph listed for this composition in kJ/mol of atoms: 14.5

---

Entry 8:
Here is a relaxed structure of MnRhSe from Alexandria via LeMat-Bulk. Energies are from PBE-GGA.

Lattice parameters (Å, degrees): 3.1410 3.1410 5.6137 90.00 90.00 120.00
Last column: nearest neighbours and their distance in Å.
Sites, in units of the cell vectors:
Mn 0.0000 0.0000 0.0000  3 Se 2.51, 3 Rh 2.54
Rh 0.6667 0.3333 0.3176  3 Mn 2.54, 3 Se 2.78
Se 0.3333 0.6667 0.6919  3 Mn 2.51, 3 Rh 2.78

Formation energy without anion corrections in eV per atom: 0.05
Magnetization in μB/f.u.: 3.5
Energy relative to the lowest polymorph listed for this composition in kJ/mol of atoms: 24.6